[1]
The following is a PBE calculation of an optimized crystal structure of SrNbBi2Br, from Alexandria.

Output
* DFT total energy: -3.309 eV/atom
* formation energy without anion corrections: 928.0 meV per atom

POSCAR file:
```
SrNbBi2Br
1.0
-3.7031 -4.3201 -2.3628
4.2762 -3.4198 -0.4492
-1.1175 -2.1419 5.6676
Sr Nb Bi Br
1 1 2 1
Direct
0.0000 0.0000 0.0000 Sr
0.5000 0.5000 0.5000 Nb
0.0000 0.0000 0.5000 Bi
0.5000 0.0000 0.0000 Bi
0.0000 0.5000 0.0000 Br
```

---

[2]
The following is a PBE calculation of an optimized crystal structure of CdSn2Au, from Alexandria.

Output
* DFT total energy: -3.033 eV/atom
* energy of formation: 16 meV per atom

POSCAR file:
```
CdSn2Au
1.0
4.4339 0.0000 0.0000
0.0000 4.4339 0.0000
2.2169 2.2169 10.1927
Au Sn Cd
2 4 2
Direct
0.0000 0.0000 0.0000 Au
0.7500 0.2500 0.5000 Au
0.6362 0.1250 0.2500 Sn
0.1138 0.6250 0.2500 Sn
0.3750 0.3638 0.7500 Sn
0.8750 0.8862 0.7500 Sn
0.5000 0.5000 0.0000 Cd
0.2500 0.7500 0.5000 Cd
```

---

[3]
The following is a PBE calculation of an optimized crystal structure of SiAsH, from Alexandria.

Output
* DFT total energy: -4.469 eV/atom

POSCAR file:
```
SiAsH
1.0
-3.0426 1.2808 5.0336
-5.9658 1.1162 -3.8901
1.7457 -5.8985 2.5562
Si As H
4 4 4
Direct
0.2819 0.0925 0.9672 Si
0.7819 0.4075 0.0328 Si
0.7181 0.9075 0.0328 Si
0.2181 0.5925 0.9672 Si
0.1377 0.4639 0.2244 As
0.6377 0.0361 0.7756 As
0.8623 0.5361 0.7756 As
0.3623 0.9639 0.2244 As
0.1178 0.9413 0.7714 H
0.6178 0.5587 0.2286 H
0.8822 0.0587 0.2286 H
0.3822 0.4413 0.7714 H
```

---

[4]
The following is a PBE calculation of an optimized crystal structure of TbPr6Ho2Tm3, from Alexandria.

Output
* DFT total energy: -4.642 eV/atom
* energy of formation: 14 meV per atom

POSCAR file:
```
TbPr6Ho2Tm3
1.0
-4.0047 2.1837 4.3198
-1.9059 -0.7910 -5.9337
-1.2813 -11.3541 3.0318
Tb Pr Ho Tm
1 6 2 3
Direct
0.0000 0.0000 0.0000 Tb
0.9161 0.5826 0.7486 Pr
0.7504 0.7504 0.2515 Pr
0.0839 0.4174 0.2514 Pr
0.5826 0.9161 0.7486 Pr
0.2496 0.2496 0.7485 Pr
0.4174 0.0839 0.2514 Pr
0.3334 0.6666 0.0000 Ho
0.6666 0.3334 0.0000 Ho
0.1668 0.8332 0.5000 Tm
0.8332 0.1668 0.5000 Tm
0.5000 0.5000 0.5000 Tm
```

---

[5]
The following is a PBE calculation of an optimized crystal structure of Cu2SiP, from Alexandria.

Output
* DFT total energy: -4.604 eV/atom
* formation energy without anion corrections: 152.0 meV per atom

POSCAR file:
```
Cu2SiP
1.0
3.5210 0.0000 0.0000
0.0000 2.5413 0.0227
0.0000 1.3104 6.0016
Cu P Si
2 1 1
Direct
0.0000 0.9312 0.0090 Cu
0.5000 0.3042 0.2429 Cu
0.0000 0.7149 0.4619 P
0.5000 0.5497 0.7862 Si
```

---

[6]
The following is a PBE calculation of an optimized crystal structure of MnNbSbI2, from Alexandria.

Output
* DFT total energy: -4.633 eV/atom
* formation energy without anion corrections: 659.9 meV per atom

POSCAR file:
```
MnNbSbI2
1.0
5.6008 0.0000 0.0000
0.0000 5.6008 0.0000
0.0000 0.0000 5.4786
I Sb Nb Mn
2 1 1 1
Direct
0.0000 0.5000 0.0000 I
0.5000 0.0000 0.0000 I
0.0000 0.0000 0.5000 Sb
0.0000 0.0000 0.0000 Nb
0.5000 0.5000 0.5000 Mn
```

---

[7]
The following is a PBE calculation of an optimized crystal structure of CaGeHPt2, from Alexandria.

Output
* DFT total energy: -5.140 eV/atom

POSCAR file:
```
CaGeHPt2
1.0
-0.2085 2.9488 -2.3987
-5.1046 -2.9847 -0.2045
-2.7043 4.2507 5.4606
Ca Ge H Pt
2 2 2 4
Direct
0.4601 0.9201 0.7500 Ca
0.5399 0.0799 0.2500 Ca
0.7371 0.4741 0.7500 Ge
0.2629 0.5259 0.2500 Ge
0.0000 0.0000 0.0000 H
0.0000 0.0000 0.5000 H
0.1555 0.3110 0.9455 Pt
0.8445 0.6890 0.0545 Pt
0.1555 0.3110 0.5545 Pt
0.8445 0.6890 0.4455 Pt
```

---

[8]
The following is a PBE calculation of an optimized crystal structure of ReAuBr3, from Alexandria.

Output
* DFT total energy: -3.446 eV/atom
* formation energy without anion corrections: 702.6 meV per atom

POSCAR file:
```
ReAuBr3
1.0
5.1221 0.0000 0.0000
0.0000 5.1221 0.0000
0.0000 0.0000 5.1221
Re Au Br
1 1 3
Direct
0.0000 0.0000 0.0000 Re
0.5000 0.5000 0.5000 Au
0.0000 0.5000 0.0000 Br
0.0000 0.0000 0.5000 Br
0.5000 0.0000 0.0000 Br
```

---

[9]
The following is a PBE calculation of an optimized crystal structure of UNF, from Alexandria.

Output
* DFT total energy: -9.287 eV/atom
* formation energy without anion corrections: -2125.2 meV per atom

POSCAR file:
```
UNF
1.0
-2.6372 -2.1510 -1.8974
-1.9811 -2.7700 1.8931
-3.7965 0.4773 0.7351
N U F
1 1 1
Direct
0.0000 0.0000 0.0000 N
0.2500 0.2500 0.2500 U
0.5000 0.5000 0.5000 F
```

---

[10]
The following is a PBE calculation of an optimized crystal structure of CsIrCl3, from Alexandria.

Output
* DFT total energy: -3.770 eV/atom
* formation energy without anion corrections: -719.2 meV per atom

POSCAR file:
```
CsIrCl3
1.0
-0.7859 -0.1957 4.9062
1.3616 -4.7824 0.0273
4.7175 1.3478 0.8094
Cs Ir Cl
1 1 3
Direct
0.5000 0.5000 0.5000 Cs
0.0000 0.0000 0.0000 Ir
0.0000 0.5000 0.0000 Cl
0.0000 0.0000 0.5000 Cl
0.5000 0.0000 0.0000 Cl
```

---

[11]
The following is a PBE calculation of an optimized crystal structure of LiHf2In6, from Alexandria.

Output
* DFT total energy: -4.120 eV/atom
* energy of formation: 130 meV per atom

POSCAR file:
```
LiHf2In6
1.0
-1.4350 2.4866 3.4597
5.4588 -2.5126 4.0701
2.0275 5.3668 -5.8774
Li Hf In
1 2 6
Direct
0.0000 0.0000 0.0000 Li
0.6491 0.6482 0.2965 Hf
0.3509 0.3518 0.7035 Hf
0.1709 0.3939 0.3417 In
0.8291 0.0522 0.6583 In
0.8291 0.6061 0.6583 In
0.5000 0.2105 0.0000 In
0.1709 0.9478 0.3417 In
0.5000 0.7895 0.0000 In
```

---

[12]
The following is a PBE calculation of an optimized crystal structure of TbSc2H8, from Alexandria.

Output
* DFT total energy: -4.574 eV/atom

POSCAR file:
```
TbSc2H8
1.0
3.2834 0.0000 -0.9992
-0.7346 4.2498 -2.4136
0.0210 0.5165 5.9629
Tb Sc H
1 2 8
Direct
0.5000 0.0000 0.0000 Tb
0.1703 0.6703 0.3407 Sc
0.8297 0.3297 0.6593 Sc
0.6667 0.8948 0.3334 H
0.3333 0.5614 0.6666 H
0.1564 0.1564 0.3129 H
0.0000 0.2921 0.0000 H
0.8436 0.8436 0.6871 H
0.6667 0.4386 0.3334 H
0.3333 0.1052 0.6666 H
0.0000 0.7079 0.0000 H
```

---

Which of these has the lowest DFT total energy? UNF